Density functional theory data (PBE) for a relaxed MgFe2P crystal.

Calculated values
Size of the total moment   0.69 μB per atom
DFT total energy   -48.09 eV for the cell shown
ΔH_f (0 K)   -11 kJ/mol of formula units
V   104 Å³ per cell

abc: 8.4709 3.2347 4.4050
angles: 90.00 120.31 90.00
With the nearest neighbours (Å) after each atom.
Space group C2/m (No. 12)
Symmetry-distinct sites (fractional):
Mg 0.0000 0.0000 0.0000 x2  8 Fe 2.64-2.73, 4 P 2.73
Fe 0.1996 0.0000 0.6950 x4  2 P 2.18
P 0.0000 0.5000 0.5000 x2  4 Fe 2.18